Entry 1:
# GGA-PBE YThMgZr, optimized geometry
data_YThMgZr
_chemical_formula_sum 'Y4 Th4 Mg4 Zr4'
_cell_length_a 7.594
_cell_length_b 7.594
_cell_length_c 7.594
_cell_angle_alpha 90.00
_cell_angle_beta 90.00
_cell_angle_gamma 90.00
_symmetry_space_group_name_H-M 'F -4 3 m'
_symmetry_Int_Tables_number 216
_symmetry_space_group_name_Hall 'F -4 2 3'
loop_
_atom_site_label
_atom_site_fract_x
_atom_site_fract_y
_atom_site_fract_z
_atom_site_occupancy
Y1 0.000 0.000 0.000 1
Th1 0.000 0.000 0.500 1
Mg1 0.250 0.250 0.750 1
Zr1 0.250 0.250 0.250 1
# ΔH_f (0 K) (meV/atom): 110
# Calculated density (g/cm³): 6.6



Entry 2:
# GGA-PBE ThMg2Zn4, optimized geometry
data_ThMg2Zn4
_chemical_formula_sum 'Th2 Mg4 Zn8'
_cell_length_a 3.576
_cell_length_b 4.481
_cell_length_c 17.843
_cell_angle_alpha 90.00
_cell_angle_beta 90.00
_cell_angle_gamma 90.00
_symmetry_space_group_name_H-M 'I m m m'
_symmetry_Int_Tables_number 71
_symmetry_space_group_name_Hall '-I 2 2'
loop_
_atom_site_label
_atom_site_fract_x
_atom_site_fract_y
_atom_site_fract_z
_atom_site_occupancy
Th1 0.000 0.000 0.000 1
Mg1 0.000 0.500 0.195 1
Zn1 0.000 0.000 0.426 1
Zn2 0.000 0.500 0.352 1
# ΔH_f (0 K) (meV/atom): -155
# Calculated density (g/cm³): 6.3



Entry 3:
# GGA-PBE Th2MgZn2, optimized geometry
data_Th2MgZn2
_chemical_formula_sum 'Th4 Mg2 Zn4'
_cell_length_a 4.191
_cell_length_b 6.049
_cell_length_c 9.549
_cell_angle_alpha 90.00
_cell_angle_beta 90.00
_cell_angle_gamma 90.00
_symmetry_space_group_name_H-M 'I m m m'
_symmetry_Int_Tables_number 71
_symmetry_space_group_name_Hall '-I 2 2'
loop_
_atom_site_label
_atom_site_fract_x
_atom_site_fract_y
_atom_site_fract_z
_atom_site_occupancy
Th1 0.000 0.000 0.215 1
Mg1 0.000 0.500 0.000 1
Zn1 0.000 0.286 0.500 1
# ΔH_f (0 K) (meV/atom): -134
# Calculated density (g/cm³): 8.5



Entry 4:
# GGA-PBE Th2MgZn16, optimized geometry
data_Th2MgZn16
_chemical_formula_sum 'Th6 Mg3 Zn48'
_cell_length_a 9.1116
_cell_length_b 9.1116
_cell_length_c 13.3170
_cell_angle_alpha 90.00
_cell_angle_beta 90.00
_cell_angle_gamma 120.00
_symmetry_space_group_name_H-M 'R 3 m'
_symmetry_Int_Tables_number 160
_symmetry_space_group_name_Hall 'R 3 -2"'
loop_
_atom_site_label
_atom_site_fract_x
_atom_site_fract_y
_atom_site_fract_z
_atom_site_occupancy
Th1 0.0000 0.0000 0.0000 1
Th2 0.0000 0.0000 0.3186 1
Mg1 0.0000 0.0000 0.7531 1
Zn1 0.0000 0.0000 0.5505 1
Zn2 0.9999 0.2930 0.6592 1
Zn3 0.0024 0.5012 0.1595 1
Zn4 0.0091 0.5046 0.8113 1
Zn5 0.1700 0.3400 0.8414 1
# ΔH_f (0 K) (meV/atom): -212
# Calculated density (g/cm³): 8.0



Entry 5:
# GGA-PBE Th3Mg4Zn4, optimized geometry
data_Th3Mg4Zn4
_chemical_formula_sum 'Th6 Mg8 Zn8'
_cell_length_a 4.561
_cell_length_b 7.442
_cell_length_c 14.842
_cell_angle_alpha 90.00
_cell_angle_beta 90.00
_cell_angle_gamma 90.00
_symmetry_space_group_name_H-M 'I m m m'
_symmetry_Int_Tables_number 71
_symmetry_space_group_name_Hall '-I 2 2'
loop_
_atom_site_label
_atom_site_fract_x
_atom_site_fract_y
_atom_site_fract_z
_atom_site_occupancy
Th1 0.000 0.000 0.000 1
Th2 0.000 0.500 0.114 1
Mg1 0.000 0.308 0.326 1
Zn1 0.000 0.000 0.222 1
Zn2 0.000 0.191 0.500 1
# ΔH_f (0 K) (meV/atom): -133
# Calculated density (g/cm³): 7.0



Entry 6:
# GGA-PBE Th2MgZn3, optimized geometry
data_Th2MgZn3
_chemical_formula_sum 'Th4 Mg2 Zn6'
_cell_length_a 5.0000
_cell_length_b 5.0000
_cell_length_c 12.7311
_cell_angle_alpha 90.00
_cell_angle_beta 90.00
_cell_angle_gamma 120.00
_symmetry_space_group_name_H-M 'P -3 m 1'
_symmetry_Int_Tables_number 164
_symmetry_space_group_name_Hall '-P 3 2"'
loop_
_atom_site_label
_atom_site_fract_x
_atom_site_fract_y
_atom_site_fract_z
_atom_site_occupancy
Th1 0.0000 0.0000 0.0000 1
Th2 0.0000 0.0000 0.5000 1
Th3 0.3333 0.6667 0.1822 1
Mg1 0.3333 0.6667 0.6593 1
Zn1 0.0000 0.0000 0.2582 1
Zn2 0.3333 0.6667 0.4211 1
Zn3 0.3333 0.6667 0.9119 1
# ΔH_f (0 K) (meV/atom): -172
# Calculated density (g/cm³): 8.2



Entry 7:
# GGA-PBE ThMg2Zn, optimized geometry
data_ThMg2Zn
_chemical_formula_sum 'Th1 Mg2 Zn1'
_cell_length_a 3.325
_cell_length_b 3.325
_cell_length_c 8.412
_cell_angle_alpha 90.00
_cell_angle_beta 90.00
_cell_angle_gamma 90.00
_symmetry_space_group_name_H-M 'P 4/m m m'
_symmetry_Int_Tables_number 123
_symmetry_space_group_name_Hall '-P 4 2'
loop_
_atom_site_label
_atom_site_fract_x
_atom_site_fract_y
_atom_site_fract_z
_atom_site_occupancy
Th1 0.000 0.000 0.000 1
Mg1 0.500 0.500 0.303 1
Zn1 0.000 0.000 0.500 1
# ΔH_f (0 K) (meV/atom): -27
# Calculated density (g/cm³): 6.2



Entry 8:
# GGA-PBE ThMg10Zn2, optimized geometry
data_ThMg10Zn2
_chemical_formula_sum 'Th4 Mg40 Zn8'
_cell_length_a 5.769
_cell_length_b 13.996
_cell_length_c 14.166
_cell_angle_alpha 90.00
_cell_angle_beta 90.00
_cell_angle_gamma 90.00
_symmetry_space_group_name_H-M 'F m m m'
_symmetry_Int_Tables_number 69
_symmetry_space_group_name_Hall '-F 2 2'
loop_
_atom_site_label
_atom_site_fract_x
_atom_site_fract_y
_atom_site_fract_z
_atom_site_occupancy
Th1 0.000 0.000 0.000 1
Mg1 0.000 0.110 0.397 1
Mg2 0.000 0.180 0.169 1
Mg3 0.250 0.000 0.250 1
Zn1 0.250 0.250 0.000 1
# ΔH_f (0 K) (meV/atom): -50
# Calculated density (g/cm³): 3.5



Entry 9:
# GGA-PBE Th2Mg2Zn15, optimized geometry
data_Th2Mg2Zn15
_chemical_formula_sum 'Th6 Mg6 Zn45'
_cell_length_a 9.1482
_cell_length_b 9.1482
_cell_length_c 13.4325
_cell_angle_alpha 90.00
_cell_angle_beta 90.00
_cell_angle_gamma 120.00
_symmetry_space_group_name_H-M 'R -3 m'
_symmetry_Int_Tables_number 166
_symmetry_space_group_name_Hall '-R 3 2"'
loop_
_atom_site_label
_atom_site_fract_x
_atom_site_fract_y
_atom_site_fract_z
_atom_site_occupancy
Th1 0.0000 0.0000 0.1568 1
Mg1 0.0000 0.0000 0.3967 1
Zn1 0.0000 0.2922 0.5000 1
Zn2 0.0000 0.5000 0.0000 1
Zn3 0.0086 0.5043 0.6502 1
# ΔH_f (0 K) (meV/atom): -206
# Calculated density (g/cm³): 7.6



Entry 10:
# GGA-PBE ThMg3Zn9, optimized geometry
data_ThMg3Zn9
_chemical_formula_sum 'Th2 Mg6 Zn18'
_cell_length_a 5.674
_cell_length_b 12.927
_cell_length_c 6.933
_cell_angle_alpha 90.00
_cell_angle_beta 113.84
_cell_angle_gamma 90.00
_symmetry_space_group_name_H-M 'C 1 2/m 1'
_symmetry_Int_Tables_number 12
loop_
_symmetry_equiv_pos_as_xyz
'x,y,z'
'-x,-y,-z'
'-x,y,-z'
'x,-y,z'
'x+1/2,y+1/2,z'
'-x+1/2,-y+1/2,-z'
'-x+1/2,y+1/2,-z'
'x+1/2,-y+1/2,z'
loop_
_atom_site_label
_atom_site_fract_x
_atom_site_fract_y
_atom_site_fract_z
_atom_site_occupancy
Th1 0.000 0.000 0.000 1
Mg1 0.000 0.000 0.500 1
Mg2 0.250 0.250 0.000 1
Zn1 0.000 0.500 0.500 1
Zn2 0.099 0.396 0.213 1
Zn3 0.192 0.176 0.362 1
# ΔH_f (0 K) (meV/atom): -114
# Calculated density (g/cm³): 6.4



Entry 11:
# GGA-PBE ThMgZn10, optimized geometry
data_ThMgZn10
_chemical_formula_sum 'Th1 Mg1 Zn10'
_cell_length_a 4.285
_cell_length_b 5.243
_cell_length_c 9.272
_cell_angle_alpha 90.00
_cell_angle_beta 90.00
_cell_angle_gamma 90.00
_symmetry_space_group_name_H-M 'P m m m'
_symmetry_Int_Tables_number 47
loop_
_symmetry_equiv_pos_as_xyz
'x,y,z'
'-x,-y,-z'
'-x,-y,z'
'x,y,-z'
'x,-y,-z'
'-x,y,z'
'-x,y,-z'
'x,-y,z'
loop_
_atom_site_label
_atom_site_fract_x
_atom_site_fract_y
_atom_site_fract_z
_atom_site_occupancy
Th1 0.000 0.000 0.000 1
Mg1 0.000 0.500 0.500 1
Zn1 0.000 0.000 0.348 1
Zn2 0.000 0.500 0.193 1
Zn3 0.500 0.000 0.500 1
Zn4 0.500 0.243 0.242 1
Zn5 0.500 0.500 0.000 1
# ΔH_f (0 K) (meV/atom): -135
# Calculated density (g/cm³): 7.3



Entry 12:
# GGA-PBE ThMg3Zn4, optimized geometry
data_ThMg3Zn4
_chemical_formula_sum 'Th2 Mg6 Zn8'
_cell_length_a 9.520
_cell_length_b 7.109
_cell_length_c 4.760
_cell_angle_alpha 90.00
_cell_angle_beta 90.00
_cell_angle_gamma 90.00
_symmetry_space_group_name_H-M 'P m m a'
_symmetry_Int_Tables_number 51
loop_
_symmetry_equiv_pos_as_xyz
'x,y,z'
'-x,-y,-z'
'-x+1/2,-y,z'
'x+1/2,y,-z'
'x+1/2,-y,-z'
'-x+1/2,y,z'
'-x,y,-z'
'x,-y,z'
loop_
_atom_site_label
_atom_site_fract_x
_atom_site_fract_y
_atom_site_fract_z
_atom_site_occupancy
Th1 0.000 0.000 0.000 1
Mg1 0.000 0.500 0.000 1
Mg2 0.250 0.000 0.500 1
Mg3 0.250 0.500 0.498 1
Zn1 0.000 0.275 0.500 1
Zn2 0.250 0.275 0.998 1
# ΔH_f (0 K) (meV/atom): -120
# Calculated density (g/cm³): 5.8